# 1
Density functional theory data (GGA-PBE) for a relaxed TbCe3Ge2 crystal.

It has space group C2/m (No. 12), with a = 17.389 Å, b = 4.152 Å, c = 8.871 Å, α = 90.00°, β = 115.24° and γ = 90.00°. Symmetry generates all atoms from Tb at (0.109, 0.000, 0.033), Ce at (0.069, 0.000, 0.441), Ce at (0.121, 0.500, 0.681), Ce at (0.218, 0.500, 0.397), Ge at (0.022, 0.500, 0.170) and Ge at (0.249, 0.500, 0.092).

The energy of formation comes out at -3.03 eV/f.u. As for the crystal system: monoclinic.



# 2
Density functional theory data (GGA-PBE) for a relaxed Na2Pm2Cl7 crystal.

It has space group C2/m (No. 12), with a = 11.602 Å, b = 8.608 Å, c = 6.854 Å, α = 90.00°, β = 95.44° and γ = 90.00°. Symmetry generates all atoms from Na at (0.000, 0.229, 0.000), Pm at (0.234, 0.500, 0.432), Cl at (0.000, 0.500, 0.500), Cl at (0.077, 0.000, 0.760) and Cl at (0.204, 0.207, 0.260).

The formation energy (no corrections) is -1.921 eV/atom. The energy above the most stable polymorph in this dataset comes out at 18.4 meV per atom. As for the crystal system: monoclinic.



# 3
Density functional theory data (GGA-PBE) for a relaxed Hf3V crystal.

It has space group I4/mmm (No. 139), with a = 4.551 Å, b = 4.551 Å, c = 7.883 Å, α = 90.00°, β = 90.00° and γ = 90.00°. Symmetry generates all atoms from Hf at (0.000, 0.000, 0.000), Hf at (0.000, 0.500, 0.250) and V at (0.000, 0.000, 0.500).

The energy above the most stable polymorph in this dataset comes out at 76.1 meV per atom. The energy of formation comes out at 0.84 eV/f.u. As for the crystal system: tetragonal.



| no. | size of the total moment (Bohr magnetons per cell) |
| --- | --- |
| 1 | 0.1 |
| 2 | 1.9 |
| 3 | 3.5 |